Density functional theory data (GGA-PBE) for HoSnPt after structural relaxation.

As for the total energy: -16.3 eV per formula unit.

The space group is P-62m (No. 189) and the conventional cell measures 8.1881, 8.1881 and 3.3793 Å, with angles of 90.00, 90.00 and 120.00 degrees. The inequivalent atoms are Ho at (0.0000, 0.2955, 0.0000), Sn at (0.0000, 0.0000, 0.5000), Sn at (0.3333, 0.6667, 0.0000) and Pt at (0.0000, 0.6465, 0.5000).

=====

Density functional theory data (GGA-PBE) for Sc2ZnPt after structural relaxation.

The energy of formation is -2.0 eV per formula unit.

The space group is P6_3/mmc (No. 194) and the conventional cell measures 3.9608, 3.9608 and 12.6409 Å, with angles of 90.00, 90.00 and 120.00 degrees. The inequivalent atoms are Sc at (0.3333, 0.6667, 0.1086), Zn at (0.3333, 0.6667, 0.7500) and Pt at (0.0000, 0.0000, 0.0000).

=====

Density functional theory data (GGA-PBE) for SrTbPm after structural relaxation.

As for the total energy: -8.6 eV per formula unit.

The space group is F-43m (No. 216) and the conventional cell measures 8.2063, 8.2063 and 8.2063 Å, with angles of 90.00, 90.00 and 90.00 degrees. The inequivalent atoms are Sr at (0.0000, 0.0000, 0.0000), Tb at (0.0000, 0.0000, 0.5000) and Pm at (0.2500, 0.2500, 0.2500).